# 1
DFT (PBE-GGA) results for a geometry-optimized CoOs5 structure.

Cell lengths 5.085, 5.085, 6.340 Å; angles 103.14, 103.14, 31.32 degrees
Fractional positions:
Co: 0.000 0.000 0.000
Os: 0.056 0.056 0.613
Os: 0.335 0.335 0.669
Os: 0.389 0.389 0.271
Os: 0.666 0.666 0.332
Os: 0.721 0.721 0.943

**Space-group type**: Cm, No. 8
**Mass density**: 20.26 Mg/m³
**Energy above the most stable polymorph in this dataset**: 18 meV/atom
**Total moment**: 0.8 μB/f.u.



# 2
DFT (PBE-GGA) results for a geometry-optimized Pb2W structure.

Cell lengths 4.903, 4.903, 3.235 Å; angles 90.00, 90.00, 90.00 degrees
Fractional positions:
Pb: 0.000 0.500 0.000
Pb: 0.500 0.000 0.000
W: 0.000 0.000 0.500

**Space-group type**: P4/mmm, No. 123
**Mass density**: 12.77 Mg/m³
**Energy above the most stable polymorph in this dataset**: 400 meV/atom
**Total moment**: 0.0 μB/f.u.



# 3
DFT (PBE-GGA) results for a geometry-optimized KSmSnI6 structure.

Cell lengths 8.113, 8.113, 15.513 Å; angles 90.00, 90.00, 120.00 degrees
Fractional positions:
K: 0.000 0.000 0.000
K: 0.000 0.000 0.500
Sm: 0.333 0.667 0.250
Sm: 0.667 0.333 0.750
Sn: 0.333 0.667 0.750
Sn: 0.667 0.333 0.250
I: 0.009 0.370 0.134
I: 0.009 0.639 0.366
I: 0.361 0.370 0.366
I: 0.361 0.991 0.134
I: 0.370 0.009 0.634
I: 0.370 0.361 0.866
I: 0.630 0.639 0.134
I: 0.630 0.991 0.366
I: 0.639 0.009 0.866
I: 0.639 0.630 0.634
I: 0.991 0.361 0.634
I: 0.991 0.630 0.866

**Space-group type**: P-31c, No. 163
**Mass density**: 4.02 Mg/m³
**Uncorrected formation energy**: -1.13 eV per atom
**Total moment**: 0.0 μB/f.u.